Material: Zr2ReSb
Method: DFT, GGA-PBEsol
State: optimized geometry

## Properties
The value obtained for the raw formation energy is -0.357 eV/atom.

abc: 4.408 3.466 10.494
angles: 90.00 90.00 90.00
Space group Amm2 (No. 38)
One atom of each set of equivalent atoms:
1 Zr 0.000 0.000 0.000
2 Zr 0.500 0.000 0.297
3 Re 0.500 0.000 0.550
4 Sb 0.000 0.000 0.723